Computed, not measured: an optimized crystal structure of Mg17Al11Au at the PBE-GGA level of DFT. Values from VASP.

Properties
The calculated density is 2.61 Mg/m³. The value obtained for the raw total energy is -2.54 eV per atom. The calculated formation energy comes out at -0.074 eV per atom. The total magnetization is 0.000 Bohr magnetons per cell. Its density of states at the Fermi level is 0.371 states/eV per atom.

Cell and atoms, written as Quantum ESPRESSO input:
```
&SYSTEM
  ibrav = 0, nat = 29, ntyp = 3
/
ATOMIC_SPECIES
Mg 24.30 Mg.upf
Al 26.98 Al.upf
Au 196.97 Au.upf
CELL_PARAMETERS angstrom
5.2493 -7.4036 0.0000
5.2493 7.4036 0.0000
-5.2371 0.0000 7.4326
ATOMIC_POSITIONS crystal
Mg 0.0000 0.0000 0.0000
Mg 0.0009 0.0009 0.6573
Mg 0.0018 0.3459 0.6577
Mg 0.0016 0.6039 0.9746
Mg 0.0041 0.3154 0.2620
Mg 0.2860 0.6850 0.3414
Mg 0.3154 0.0041 0.2620
Mg 0.3178 0.5994 0.6582
Mg 0.3459 0.0018 0.6577
Mg 0.3972 0.3972 0.3735
Mg 0.4010 0.7179 0.0581
Mg 0.5994 0.3178 0.6582
Mg 0.6039 0.0016 0.9746
Mg 0.6557 0.6557 0.3132
Mg 0.6850 0.2860 0.3414
Mg 0.6879 0.6879 0.9487
Mg 0.7179 0.4010 0.0581
Al 0.0014 0.6355 0.4723
Al 0.0036 0.8200 0.2943
Al 0.1818 0.3676 0.0228
Al 0.1855 0.8195 0.8431
Al 0.3676 0.1818 0.0228
Al 0.3691 0.3691 0.8381
Al 0.6347 0.8157 0.6584
Al 0.6355 0.0014 0.4723
Al 0.8157 0.6347 0.6584
Al 0.8200 0.0036 0.2943
Al 0.8195 0.1855 0.8431
Au 0.1923 0.1923 0.4820
```